Material: TaVO4
Method: DFT, PBE with a Hubbard U
State: relaxed

Values from the calculation:
The volume comes out at 138.5 Å³ per cell. The uncorrected energy comes out at -9.044 eV/atom.

Cell: 6.6110 6.7282 3.1147 Å, 90.00 90.00 90.00°
Fractional positions:
Ta (0.0000, 0.0000, 0.0000)
Ta (0.5000, 0.5000, 0.0000)
V (0.0000, 0.5000, 0.5000)
V (0.5000, 0.0000, 0.5000)
O (0.0000, 0.1927, 0.5000)
O (0.0000, 0.8073, 0.5000)
O (0.2018, 0.5000, 0.0000)
O (0.2982, 0.0000, 0.0000)
O (0.5000, 0.3073, 0.5000)
O (0.5000, 0.6927, 0.5000)
O (0.7018, 0.0000, 0.0000)
O (0.7982, 0.5000, 0.0000)